GGA+U Cs2TlFeF6, relaxed; mass density = 5.162 Mg/m³; M_tot = 5.0 μB/f.u.; raw total energy = -4.635 eV per atom
1.0
0.0000 4.6867 4.6867
4.6867 0.0000 4.6867
4.6867 4.6867 0.0000
Cs Tl Fe F
2 1 1 6
Direct
0.2500 0.2500 0.2500
0.7500 0.7500 0.7500
0.0000 0.0000 0.0000
0.5000 0.5000 0.5000
0.2896 0.2896 0.7104
0.2896 0.7104 0.2896
0.2896 0.7104 0.7104
0.7104 0.2896 0.2896
0.7104 0.2896 0.7104
0.7104 0.7104 0.2896